An optimized crystal structure of CaHf2Mn2. Source: Alexandria, functional PBE.

Lattice parameters (Å, degrees): 7.8347 7.8347 3.2834 90.00 90.00 90.00
Last column: nearest neighbours and their distance in Å.
Atoms (fractional coordinates):
Ca 0.0000 0.0000 0.0000  4 Mn 3.08, 2 Ca 3.28, 8 Hf 3.40
Ca 0.5000 0.5000 0.0000  4 Mn 3.08, 2 Ca 3.28, 8 Hf 3.40
Hf 0.1507 0.3493 0.5000  6 Mn 2.74-2.94
Hf 0.3493 0.8493 0.5000  6 Mn 2.74-2.94
Hf 0.6507 0.1507 0.5000  6 Mn 2.74-2.94
Hf 0.8493 0.6507 0.5000  6 Mn 2.74-2.94
Mn 0.1290 0.6290 0.0000  6 Hf 2.74-2.94, 1 Mn 2.86
Mn 0.3710 0.1290 0.0000  6 Hf 2.74-2.94, 1 Mn 2.86
Mn 0.6290 0.8710 0.0000  6 Hf 2.74-2.94, 1 Mn 2.86
Mn 0.8710 0.3710 0.0000  6 Hf 2.74-2.94, 1 Mn 2.86

Space-group type: P4/mbm
Calculated formation energy (eV/atom): 0.19